# PBE-GGA NaZr, relaxed
data_NaZr
_space_group_name_H-M_alt 'P n m a'
_space_group_IT_number 62
_space_group_name_Hall '-P 2ac 2n'
_cell_length_a 5.5557
_cell_length_b 5.3324
_cell_length_c 6.6892
_cell_angle_alpha 90.00
_cell_angle_beta 90.00
_cell_angle_gamma 90.00
loop_
_atom_site_label
_atom_site_fract_x
_atom_site_fract_y
_atom_site_fract_z
Na1 0.0694 0.2500 0.1251
Zr1 0.0763 0.2500 0.6256
# Crystal system   orthorhombic
# Offset from the most stable computed form   581 meV per atom